Crystalline Sr2ZnAgRh at its relaxed geometry. Source: Alexandria via LeMat-Bulk, functional PBE-GGA.

```
Sr2ZnAgRh
1.0
-0.439 3.814 -4.236
0.219 -4.234 -3.835
-4.779 -0.383 0.151
Ag Sr Zn Rh
1 2 1 1
direct
0.500 0.500 0.500 Ag
0.500 0.000 0.000 Sr
0.000 0.500 0.000 Sr
0.000 0.000 0.500 Zn
0.000 0.000 0.000 Rh
```

Properties
As for the space group: P4/mmm. The calculation puts the formation energy from the elements at -0.1319 eV per atom. The electronic total energy is -3.100 eV/atom.